Entry from Alexandria: Ba2GaSb2 after structural relaxation (PBE-GGA).

```
Ba2GaSb2
1.0
5.1073 -7.1884 0.0000
5.1073 7.1884 0.0000
-5.0243 0.0000 5.1141
Ba Ga Sb
4 2 4
Direct
0.0653 0.3389 0.2023 Ba
0.3389 0.0653 0.7023 Ba
0.6611 0.9347 0.2977 Ba
0.9347 0.6611 0.7977 Ba
0.5002 0.4998 0.2500 Ga
0.4998 0.5002 0.7500 Ga
0.1743 0.4052 0.7895 Sb
0.4052 0.1743 0.2895 Sb
0.5948 0.8257 0.7105 Sb
0.8257 0.5948 0.2105 Sb
```

Computed properties:
Final energy   -38.328 eV for the cell shown
Energy relative to the lowest polymorph listed for this composition   0 meV/atom
Raw formation energy   -0.809 eV/atom